Entry from Alexandria via LeMat-Bulk: NiBi2TeO8 after structural relaxation (GGA+U).

abc: 4.9352 4.9339 6.7570
angles: 89.98 90.02 91.05
Fractional positions:
Bi: 0.4999 0.5001 0.7435
O: 0.2852 0.2843 0.0000
O: 0.7148 0.7157 0.0000
O: 0.1786 0.8207 0.2252
Bi: 0.5001 0.4999 0.2565
O: 0.2931 0.2926 0.5000
O: 0.8216 0.1791 0.2253
Te: 0.0000 0.0000 0.0000
Ni: 0.0000 0.0000 0.5000
O: 0.7069 0.7074 0.5000
O: 0.8214 0.1793 0.7748
O: 0.1784 0.8209 0.7747

Summary:
raw total energy	-5.389	eV/atom
space-group type	Cmmm (65)
volume	164.50	Å³/f.u.
N(E_F)	3.18	states/eV per cell